VASP calculation (PBE) on a geometry-optimized Rb2SeI4 structure.

a b c (Å): 7.7116 7.7116 7.7116
angles (deg): 114.22 114.22 100.35
Element x y z (fractional)
Rb (0.2500, 0.7500, 0.5000)
Rb (0.7500, 0.2500, 0.5000)
Se (0.0000, 0.0000, 0.0000)
I (0.2396, 0.2396, 0.4793)
I (0.2396, 0.7604, 0.0000)
I (0.7604, 0.2396, 0.0000)
I (0.7604, 0.7604, 0.5207)

The total energy is -2.514 eV per atom. For the magnetization, the calculation gives 0.00 μB per cell.